1.
! TbIn2Pd (PBE-GGA, optimized geometry); values from VASP
! * energy relative to the elements: -1.96 eV per formula unit
&SYSTEM
  ibrav = 0, nat = 4, ntyp = 3
/
ATOMIC_SPECIES
Tb 158.93 Tb.upf
In 114.82 In.upf
Pd 106.42 Pd.upf
CELL_PARAMETERS angstrom
2.300 1.328 5.088
-2.300 1.328 5.088
0.000 -2.655 5.088
ATOMIC_POSITIONS crystal
Tb 0.000 0.000 0.000
In 0.223 0.223 0.223
In 0.777 0.777 0.777
Pd 0.500 0.500 0.500

***

2.
! Mn2AgSe (PBE-GGA, optimized geometry); values from VASP
! * uncorrected formation energy: 2.03 eV/f.u.
&SYSTEM
  ibrav = 0, nat = 4, ntyp = 3
/
ATOMIC_SPECIES
Mn 54.94 Mn.upf
Ag 107.87 Ag.upf
Se 78.96 Se.upf
CELL_PARAMETERS angstrom
0.000 3.296 3.296
3.296 0.000 3.296
3.296 3.296 0.000
ATOMIC_POSITIONS crystal
Mn 0.000 0.000 0.000
Mn 0.250 0.250 0.250
Ag 0.750 0.750 0.750
Se 0.500 0.500 0.500

***

3.
! Cs7Rb2I (PBE-GGA, optimized geometry); values from VASP
! * uncorrected formation energy: -2.69 eV/f.u.
&SYSTEM
  ibrav = 0, nat = 20, ntyp = 3
/
ATOMIC_SPECIES
Cs 132.91 Cs.upf
Rb 85.47 Rb.upf
I 126.90 I.upf
CELL_PARAMETERS angstrom
11.252 -6.687 0.000
11.252 6.687 0.000
-10.588 0.000 13.154
ATOMIC_POSITIONS crystal
Cs 0.046 0.954 0.750
Cs 0.164 0.564 0.195
Cs 0.207 0.416 0.481
Cs 0.249 0.584 0.872
Cs 0.416 0.207 0.981
Cs 0.416 0.751 0.628
Cs 0.436 0.836 0.305
Cs 0.564 0.164 0.695
Cs 0.584 0.249 0.372
Cs 0.584 0.793 0.019
Cs 0.751 0.416 0.128
Cs 0.793 0.584 0.519
Cs 0.836 0.436 0.805
Cs 0.954 0.046 0.250
Rb 0.118 0.172 0.608
Rb 0.172 0.118 0.108
Rb 0.828 0.882 0.892
Rb 0.882 0.828 0.392
I 0.474 0.526 0.750
I 0.526 0.474 0.250

***

4.
! Zr2TcRh (PBE-GGA, optimized geometry); values from VASP
! * energy relative to the elements: -1.56 eV per formula unit
&SYSTEM
  ibrav = 0, nat = 4, ntyp = 3
/
ATOMIC_SPECIES
Zr 91.22 Zr.upf
Tc 98.00 Tc.upf
Rh 102.91 Rh.upf
CELL_PARAMETERS angstrom
-1.701 2.213 4.800
1.701 -2.213 4.800
1.701 2.213 -4.800
ATOMIC_POSITIONS crystal
Zr 0.000 0.000 0.000
Zr 0.736 0.236 0.500
Tc 0.498 0.498 0.000
Rh 0.245 0.745 0.500

***

5.
! Na4Np3HgSe8 (PBE-GGA, optimized geometry); values from VASP
! * uncorrected formation energy: -16.67 eV/f.u.
&SYSTEM
  ibrav = 0, nat = 16, ntyp = 4
/
ATOMIC_SPECIES
Na 22.99 Na.upf
Np 237.00 Np.upf
Hg 200.59 Hg.upf
Se 78.96 Se.upf
CELL_PARAMETERS angstrom
4.201 2.426 6.937
-4.201 2.426 6.937
0.000 -4.851 6.937
ATOMIC_POSITIONS crystal
Na 0.000 0.000 0.000
Na 0.000 0.500 0.500
Na 0.500 0.000 0.500
Na 0.500 0.500 0.000
Np 0.000 0.000 0.500
Np 0.000 0.500 0.000
Np 0.500 0.000 0.000
Hg 0.500 0.500 0.500
Se 0.234 0.748 0.748
Se 0.243 0.243 0.243
Se 0.252 0.252 0.766
Se 0.252 0.766 0.252
Se 0.748 0.234 0.748
Se 0.748 0.748 0.234
Se 0.757 0.757 0.757
Se 0.766 0.252 0.252

***

6.
! La15NdDy4 (PBE-GGA, optimized geometry); values from VASP
! * energy relative to the elements: 0.19 eV per formula unit
&SYSTEM
  ibrav = 0, nat = 20, ntyp = 3
/
ATOMIC_SPECIES
La 138.91 La.upf
Nd 144.24 Nd.upf
Dy 162.50 Dy.upf
CELL_PARAMETERS angstrom
5.217 0.000 0.000
0.000 5.217 0.000
0.000 0.000 26.114
ATOMIC_POSITIONS crystal
La 0.000 0.000 0.000
La 0.000 0.000 0.201
La 0.000 0.000 0.400
La 0.000 0.000 0.600
La 0.000 0.000 0.799
La 0.000 0.500 0.101
La 0.000 0.500 0.301
La 0.000 0.500 0.500
La 0.000 0.500 0.699
La 0.000 0.500 0.899
La 0.500 0.000 0.101
La 0.500 0.000 0.301
La 0.500 0.000 0.500
La 0.500 0.000 0.699
La 0.500 0.000 0.899
Nd 0.500 0.500 0.000
Dy 0.500 0.500 0.201
Dy 0.500 0.500 0.400
Dy 0.500 0.500 0.600
Dy 0.500 0.500 0.799

***

7.
! K4Ir3 (PBE-GGA, optimized geometry); values from VASP
! * energy relative to the elements: 4.55 eV per formula unit
&SYSTEM
  ibrav = 0, nat = 7, ntyp = 2
/
ATOMIC_SPECIES
K 39.10 K.upf
Ir 192.22 Ir.upf
CELL_PARAMETERS angstrom
5.536 0.000 0.000
-2.768 4.794 0.000
0.000 0.000 6.251
ATOMIC_POSITIONS crystal
K 0.000 0.000 0.247
K 0.000 0.000 0.753
K 0.333 0.667 0.500
K 0.667 0.333 0.500
Ir 0.000 0.500 0.000
Ir 0.500 0.000 0.000
Ir 0.500 0.500 0.000

***

8.
! SrTl5Cl7 (PBE-GGA, optimized geometry); values from VASP
! * uncorrected formation energy: -17.35 eV/f.u.
&SYSTEM
  ibrav = 0, nat = 26, ntyp = 3
/
ATOMIC_SPECIES
Sr 87.62 Sr.upf
Tl 204.38 Tl.upf
Cl 35.45 Cl.upf
CELL_PARAMETERS angstrom
2.136 -7.756 0.000
2.136 7.756 0.000
0.000 0.000 26.532
ATOMIC_POSITIONS crystal
Sr 0.206 0.794 0.500
Sr 0.794 0.206 0.000
Tl 0.021 0.979 0.736
Tl 0.260 0.740 0.165
Tl 0.295 0.705 0.816
Tl 0.439 0.561 0.391
Tl 0.472 0.528 0.584
Tl 0.528 0.472 0.084
Tl 0.561 0.439 0.891
Tl 0.705 0.295 0.316
Tl 0.740 0.260 0.665
Tl 0.979 0.021 0.236
Cl 0.057 0.943 0.341
Cl 0.117 0.883 0.603
Cl 0.192 0.808 0.055
Cl 0.220 0.780 0.927
Cl 0.349 0.651 0.281
Cl 0.379 0.621 0.698
Cl 0.424 0.576 0.985
Cl 0.576 0.424 0.485
Cl 0.621 0.379 0.198
Cl 0.651 0.349 0.781
Cl 0.780 0.220 0.427
Cl 0.808 0.192 0.555
Cl 0.883 0.117 0.103
Cl 0.943 0.057 0.841

***

9.
! Pa2ZnReN6 (PBE-GGA, optimized geometry); values from VASP
! * uncorrected formation energy: -5.94 eV/f.u.
&SYSTEM
  ibrav = 0, nat = 10, ntyp = 4
/
ATOMIC_SPECIES
Pa 231.04 Pa.upf
Zn 65.41 Zn.upf
Re 186.21 Re.upf
N 14.01 N.upf
CELL_PARAMETERS angstrom
5.283 0.000 0.000
0.000 5.283 0.000
0.000 0.000 5.003
ATOMIC_POSITIONS crystal
Pa 0.000 0.500 0.000
Pa 0.500 0.000 0.000
Zn 0.000 0.000 0.558
Re 0.500 0.500 0.599
N 0.000 0.000 0.171
N 0.258 0.258 0.755
N 0.258 0.742 0.755
N 0.500 0.500 0.237
N 0.742 0.258 0.755
N 0.742 0.742 0.755

***

10.
! SmUSi2 (PBE-GGA, optimized geometry); values from VASP
! * uncorrected formation energy: -0.91 eV/f.u.
&SYSTEM
  ibrav = 0, nat = 4, ntyp = 3
/
ATOMIC_SPECIES
Sm 150.36 Sm.upf
U 238.03 U.upf
Si 28.09 Si.upf
CELL_PARAMETERS angstrom
2.065 1.192 6.648
-2.065 1.192 6.648
0.000 -2.385 6.648
ATOMIC_POSITIONS crystal
Sm 0.000 0.000 0.000
U 0.500 0.500 0.500
Si 0.242 0.242 0.242
Si 0.758 0.758 0.758

***

11.
! Y2HgCl (PBE-GGA, optimized geometry); values from VASP
! * uncorrected formation energy: -3.44 eV/f.u.
&SYSTEM
  ibrav = 0, nat = 4, ntyp = 3
/
ATOMIC_SPECIES
Y 88.91 Y.upf
Hg 200.59 Hg.upf
Cl 35.45 Cl.upf
CELL_PARAMETERS angstrom
3.578 0.000 0.000
0.000 3.826 0.000
0.000 0.000 7.911
ATOMIC_POSITIONS crystal
Y 0.000 0.000 0.226
Y 0.000 0.000 0.774
Hg 0.500 0.500 0.000
Cl 0.500 0.000 0.500

***

12.
! CaHoP2 (PBE-GGA, optimized geometry); values from VASP
! * energy relative to the elements: -4.74 eV per formula unit
&SYSTEM
  ibrav = 0, nat = 4, ntyp = 3
/
ATOMIC_SPECIES
Ca 40.08 Ca.upf
Ho 164.93 Ho.upf
P 30.97 P.upf
CELL_PARAMETERS angstrom
2.007 1.159 6.784
-2.007 1.159 6.784
0.000 -2.318 6.784
ATOMIC_POSITIONS crystal
Ca 0.000 0.000 0.000
Ho 0.500 0.500 0.500
P 0.245 0.245 0.245
P 0.755 0.755 0.755

***

13.
! NaThF6 (PBE-GGA, optimized geometry); values from VASP
! * uncorrected formation energy: -25.45 eV/f.u.
&SYSTEM
  ibrav = 0, nat = 8, ntyp = 3
/
ATOMIC_SPECIES
Na 22.99 Na.upf
Th 232.04 Th.upf
F 19.00 F.upf
CELL_PARAMETERS angstrom
4.153 0.000 0.000
1.130 4.255 0.000
1.211 0.785 6.310
ATOMIC_POSITIONS crystal
Na 0.000 0.000 0.000
Th 0.500 0.500 0.500
F 0.077 0.414 0.313
F 0.263 0.979 0.649
F 0.473 0.738 0.158
F 0.527 0.262 0.842
F 0.737 0.021 0.351
F 0.923 0.586 0.687

***

14.
! TlAgBr (PBE-GGA, optimized geometry); values from VASP
! * uncorrected formation energy: -0.43 eV/f.u.
&SYSTEM
  ibrav = 0, nat = 3, ntyp = 3
/
ATOMIC_SPECIES
Tl 204.38 Tl.upf
Ag 107.87 Ag.upf
Br 79.90 Br.upf
CELL_PARAMETERS angstrom
0.000 2.851 6.034
2.359 0.000 6.034
2.359 2.851 0.000
ATOMIC_POSITIONS crystal
Tl 0.000 0.000 0.000
Ag 0.347 0.347 0.653
Br 0.717 0.717 0.283

***

15.
! Au2SeBr (PBE-GGA, optimized geometry); values from VASP
! * uncorrected formation energy: 1.04 eV/f.u.
&SYSTEM
  ibrav = 0, nat = 4, ntyp = 3
/
ATOMIC_SPECIES
Au 196.97 Au.upf
Se 78.96 Se.upf
Br 79.90 Br.upf
CELL_PARAMETERS angstrom
2.962 -3.905 0.000
2.962 3.905 0.000
-2.950 0.000 3.905
ATOMIC_POSITIONS crystal
Au 0.000 0.500 0.000
Au 0.500 0.000 0.000
Se 0.000 0.000 0.500
Br 0.500 0.500 0.500

***

16.
! RbReI3 (PBE-GGA, optimized geometry); values from VASP
! * uncorrected formation energy: 5.70 eV/f.u.
&SYSTEM
  ibrav = 0, nat = 5, ntyp = 3
/
ATOMIC_SPECIES
Rb 85.47 Rb.upf
Re 186.21 Re.upf
I 126.90 I.upf
CELL_PARAMETERS angstrom
6.779 0.000 0.000
0.000 6.779 0.000
0.000 0.000 6.779
ATOMIC_POSITIONS crystal
Rb 0.000 0.000 0.000
Re 0.500 0.500 0.500
I 0.000 0.000 0.500
I 0.000 0.500 0.000
I 0.500 0.000 0.000

***

17.
! NaThTe3 (PBE-GGA, optimized geometry); values from VASP
! * uncorrected formation energy: -4.64 eV/f.u.
&SYSTEM
  ibrav = 0, nat = 10, ntyp = 3
/
ATOMIC_SPECIES
Na 22.99 Na.upf
Th 232.04 Th.upf
Te 127.60 Te.upf
CELL_PARAMETERS angstrom
4.418 0.000 0.000
0.000 10.128 0.000
0.000 0.000 8.048
ATOMIC_POSITIONS crystal
Na 0.000 0.131 0.000
Na 0.000 0.869 0.500
Th 0.500 0.389 0.579
Th 0.500 0.611 0.079
Te 0.000 0.165 0.602
Te 0.000 0.452 0.865
Te 0.000 0.548 0.365
Te 0.000 0.835 0.102
Te 0.500 0.302 0.201
Te 0.500 0.698 0.701

***

18.
! Tb8SbTe4Se3 (PBE-GGA, optimized geometry); values from VASP
! * uncorrected formation energy: -23.72 eV/f.u.
&SYSTEM
  ibrav = 0, nat = 16, ntyp = 4
/
ATOMIC_SPECIES
Tb 158.93 Tb.upf
Sb 121.76 Sb.upf
Te 127.60 Te.upf
Se 78.96 Se.upf
CELL_PARAMETERS angstrom
4.259 2.459 7.065
-4.259 2.459 7.065
0.000 -4.918 7.065
ATOMIC_POSITIONS crystal
Tb 0.228 0.747 0.747
Tb 0.238 0.238 0.238
Tb 0.253 0.253 0.772
Tb 0.253 0.772 0.253
Tb 0.747 0.228 0.747
Tb 0.747 0.747 0.228
Tb 0.762 0.762 0.762
Tb 0.772 0.253 0.253
Sb 0.500 0.500 0.500
Te 0.000 0.000 0.000
Te 0.000 0.500 0.500
Te 0.500 0.000 0.500
Te 0.500 0.500 0.000
Se 0.000 0.000 0.500
Se 0.000 0.500 0.000
Se 0.500 0.000 0.000

***

19.
! K2AlGa (PBE-GGA, optimized geometry); values from VASP
! * energy relative to the elements: 1.64 eV per formula unit
&SYSTEM
  ibrav = 0, nat = 4, ntyp = 3
/
ATOMIC_SPECIES
K 39.10 K.upf
Al 26.98 Al.upf
Ga 69.72 Ga.upf
CELL_PARAMETERS angstrom
0.000 4.103 4.103
4.103 0.000 4.103
4.103 4.103 0.000
ATOMIC_POSITIONS crystal
K 0.250 0.250 0.250
K 0.750 0.750 0.750
Al 0.000 0.000 0.000
Ga 0.500 0.500 0.500

***

20.
! Ca2TlBr (PBE-GGA, optimized geometry); values from VASP
! * uncorrected formation energy: -3.35 eV/f.u.
&SYSTEM
  ibrav = 0, nat = 4, ntyp = 3
/
ATOMIC_SPECIES
Ca 40.08 Ca.upf
Tl 204.38 Tl.upf
Br 79.90 Br.upf
CELL_PARAMETERS angstrom
3.716 0.000 0.000
0.000 3.716 0.000
0.000 0.000 8.538
ATOMIC_POSITIONS crystal
Ca 0.000 0.000 0.235
Ca 0.000 0.000 0.765
Tl 0.500 0.500 0.000
Br 0.500 0.500 0.500

***

21.
! Sr2Li2Ac3Tl4 (PBE-GGA, optimized geometry); values from VASP
! * energy relative to the elements: -2.45 eV per formula unit
&SYSTEM
  ibrav = 0, nat = 11, ntyp = 4
/
ATOMIC_SPECIES
Sr 87.62 Sr.upf
Li 6.94 Li.upf
Ac 227.00 Ac.upf
Tl 204.38 Tl.upf
CELL_PARAMETERS angstrom
5.332 0.000 0.000
-2.666 4.617 0.000
0.000 0.000 15.684
ATOMIC_POSITIONS crystal
Sr 0.333 0.667 0.078
Sr 0.667 0.333 0.922
Li 0.333 0.667 0.627
Li 0.667 0.333 0.373
Ac 0.000 0.000 0.260
Ac 0.000 0.000 0.500
Ac 0.000 0.000 0.740
Tl 0.333 0.667 0.384
Tl 0.333 0.667 0.837
Tl 0.667 0.333 0.163
Tl 0.667 0.333 0.616

***

22.
! Zr2TcTe (PBE-GGA, optimized geometry); values from VASP
! * uncorrected formation energy: 1.89 eV/f.u.
&SYSTEM
  ibrav = 0, nat = 8, ntyp = 3
/
ATOMIC_SPECIES
Zr 91.22 Zr.upf
Tc 98.00 Tc.upf
Te 127.60 Te.upf
CELL_PARAMETERS angstrom
-3.136 3.136 6.168
3.136 -3.136 6.168
3.136 3.136 -6.168
ATOMIC_POSITIONS crystal
Zr 0.067 0.625 0.942
Zr 0.375 0.317 0.442
Zr 0.683 0.125 0.058
Zr 0.875 0.933 0.558
Tc 0.000 0.000 0.000
Tc 0.750 0.250 0.500
Te 0.250 0.750 0.500
Te 0.500 0.500 0.000

***

23.
! Pm2Pr6HoTh (PBE-GGA, optimized geometry); values from VASP
! * energy relative to the elements: 1.41 eV per formula unit
&SYSTEM
  ibrav = 0, nat = 20, ntyp = 4
/
ATOMIC_SPECIES
Pm 145.00 Pm.upf
Pr 140.91 Pr.upf
Ho 164.93 Ho.upf
Th 232.04 Th.upf
CELL_PARAMETERS angstrom
4.675 -7.608 0.000
4.675 7.608 0.000
-1.697 0.000 9.899
ATOMIC_POSITIONS crystal
Pm 0.195 0.285 0.047
Pm 0.285 0.195 0.547
Pm 0.715 0.805 0.453
Pm 0.805 0.715 0.953
Pr 0.011 0.578 0.189
Pr 0.110 0.749 0.555
Pr 0.251 0.890 0.945
Pr 0.300 0.506 0.380
Pr 0.422 0.989 0.311
Pr 0.494 0.700 0.120
Pr 0.506 0.300 0.880
Pr 0.578 0.011 0.689
Pr 0.700 0.494 0.620
Pr 0.749 0.110 0.055
Pr 0.890 0.251 0.445
Pr 0.989 0.422 0.811
Ho 0.407 0.593 0.750
Ho 0.593 0.407 0.250
Th 0.021 0.979 0.250
Th 0.979 0.021 0.750